Model i:
An optimized crystal structure of SiCI2N. Source: Alexandria via LeMat-Bulk, functional PBE.

abc: 5.8405 5.8405 3.2611
angles: 90.00 90.00 90.00
Fractional positions:
Si 0.0000 0.0000 0.0000
C 0.5000 0.5000 0.5000
I 0.0000 0.5000 0.0000
I 0.5000 0.0000 0.0000
N 0.0000 0.0000 0.5000

---

Model ii:
An optimized crystal structure of SiCI2N. Source: Alexandria via LeMat-Bulk, functional PBE.

abc: 7.4069 7.4069 2.6169
angles: 90.00 90.00 90.00
Fractional positions:
Si 0.0000 0.0000 0.0000
C 0.5000 0.5000 0.5000
I 0.0000 0.5000 0.5000
I 0.5000 0.0000 0.5000
N 0.5000 0.5000 0.0000

---

Unit: meV per atom. Relative energies: model i 411; model ii 0.

---

Model i:
An optimized crystal structure of SnCIN2. Source: Alexandria via LeMat-Bulk, functional PBE.

abc: 3.9474 3.9474 7.7025
angles: 90.00 90.00 90.00
Fractional positions:
Sn 0.0000 0.0000 0.0000
C 0.5000 0.5000 0.5000
I 0.0000 0.0000 0.5000
N 0.0000 0.5000 0.0000
N 0.5000 0.0000 0.0000

---

Model ii:
An optimized crystal structure of SnCIN2. Source: Alexandria via LeMat-Bulk, functional PBE.

abc: 4.1310 4.1310 4.3827
angles: 90.00 90.00 90.00
Fractional positions:
Sn 0.0000 0.0000 0.0000
C 0.5000 0.5000 0.5000
I 0.5000 0.5000 0.0000
N 0.0000 0.5000 0.5000
N 0.5000 0.0000 0.5000

---

Unit: meV per atom. Relative energies: model i 0; model ii 89.

---

Model i:
An optimized crystal structure of SrCI2N. Source: Alexandria via LeMat-Bulk, functional PBE.

abc: 6.2677 6.2677 3.1018
angles: 90.00 90.00 90.00
Fractional positions:
Sr 0.0000 0.0000 0.0000
C 0.5000 0.5000 0.5000
I 0.0000 0.5000 0.5000
I 0.5000 0.0000 0.5000
N 0.5000 0.5000 0.0000

---

Model ii:
An optimized crystal structure of SrCI2N. Source: Alexandria via LeMat-Bulk, functional PBE.

abc: 6.3765 6.3765 4.4573
angles: 90.00 90.00 90.00
Fractional positions:
Sr 0.0000 0.0000 0.0000
C 0.5000 0.5000 0.5000
I 0.0000 0.5000 0.0000
I 0.5000 0.0000 0.0000
N 0.0000 0.0000 0.5000

---

Unit: meV per atom. Relative energies: model i 0; model ii 1141.

---

Model i:
An optimized crystal structure of TcCIN2. Source: Alexandria via LeMat-Bulk, functional PBE.

abc: 3.7830 3.7830 5.9037
angles: 90.00 90.00 90.00
Fractional positions:
Tc 0.0000 0.0000 0.0000
C 0.5000 0.5000 0.5000
I 0.0000 0.0000 0.5000
N 0.0000 0.5000 0.0000
N 0.5000 0.0000 0.0000

---

Model ii:
An optimized crystal structure of TcCIN2. Source: Alexandria via LeMat-Bulk, functional PBE.

abc: 3.7939 3.7939 4.2150
angles: 90.00 90.00 90.00
Fractional positions:
Tc 0.0000 0.0000 0.0000
C 0.5000 0.5000 0.5000
I 0.5000 0.5000 0.0000
N 0.0000 0.5000 0.5000
N 0.5000 0.0000 0.5000

---

Unit: meV per atom. Relative energies: model i 0; model ii 1032.

---

Model i:
An optimized crystal structure of TcCI2N. Source: Alexandria via LeMat-Bulk, functional PBE.

abc: 5.4909 5.4909 3.7421
angles: 90.00 90.00 90.00
Fractional positions:
Tc 0.0000 0.0000 0.0000
C 0.5000 0.5000 0.5000
I 0.0000 0.5000 0.0000
I 0.5000 0.0000 0.0000
N 0.0000 0.0000 0.5000

---

Model ii:
An optimized crystal structure of TcCI2N. Source: Alexandria via LeMat-Bulk, functional PBE.

abc: 5.4160 5.4160 3.9629
angles: 90.00 90.00 90.00
Fractional positions:
Tc 0.0000 0.0000 0.0000
C 0.0000 0.0000 0.5000
I 0.0000 0.5000 0.5000
I 0.5000 0.0000 0.5000
N 0.5000 0.5000 0.0000

---

Model iii:
An optimized crystal structure of TcCI2N. Source: Alexandria via LeMat-Bulk, functional PBE.

abc: 7.3990 7.3990 2.6200
angles: 90.00 90.00 90.00
Fractional positions:
Tc 0.0000 0.0000 0.0000
C 0.5000 0.5000 0.5000
I 0.0000 0.5000 0.5000
I 0.5000 0.0000 0.5000
N 0.5000 0.5000 0.0000

---

Unit: meV per atom. Relative energies: model i 16; model ii 492; model iii 0.

---

Model i:
An optimized crystal structure of TiCIN2. Source: Alexandria via LeMat-Bulk, functional PBE.

abc: 3.7926 3.7926 6.3277
angles: 90.00 90.00 90.00
Fractional positions:
Ti 0.0000 0.0000 0.0000
C 0.5000 0.5000 0.5000
I 0.0000 0.0000 0.5000
N 0.0000 0.5000 0.0000
N 0.5000 0.0000 0.0000

---

Model ii:
An optimized crystal structure of TiCIN2. Source: Alexandria via LeMat-Bulk, functional PBE.

abc: 3.8575 3.8575 4.2104
angles: 90.00 90.00 90.00
Fractional positions:
Ti 0.0000 0.0000 0.0000
C 0.5000 0.5000 0.5000
I 0.5000 0.5000 0.0000
N 0.0000 0.5000 0.5000
N 0.5000 0.0000 0.5000

---

Unit: meV per atom. Relative energies: model i 0; model ii 685.

---

Model i:
An optimized crystal structure of TlCIN2. Source: Alexandria via LeMat-Bulk, functional PBE.

abc: 4.4349 4.4349 4.6033
angles: 90.00 90.00 90.00
Fractional positions:
Tl 0.0000 0.0000 0.0000
C 0.5000 0.5000 0.5000
I 0.5000 0.5000 0.0000
N 0.0000 0.5000 0.5000
N 0.5000 0.0000 0.5000

---

Model ii:
An optimized crystal structure of TlCIN2. Source: Alexandria via LeMat-Bulk, functional PBE.

abc: 4.1465 4.1465 7.8914
angles: 90.00 90.00 90.00
Fractional positions:
Tl 0.0000 0.0000 0.0000
C 0.5000 0.5000 0.5000
I 0.0000 0.0000 0.5000
N 0.0000 0.5000 0.0000
N 0.5000 0.0000 0.0000

---

Unit: meV per atom. Relative energies: model i 0; model ii 338.

---

Model i:
An optimized crystal structure of WCIN2. Source: Alexandria via LeMat-Bulk, functional PBE.

abc: 3.8634 3.8634 5.9376
angles: 90.00 90.00 90.00
Fractional positions:
W 0.0000 0.0000 0.0000
C 0.5000 0.5000 0.5000
I 0.0000 0.0000 0.5000
N 0.0000 0.5000 0.0000
N 0.5000 0.0000 0.0000

---

Model ii:
An optimized crystal structure of WCIN2. Source: Alexandria via LeMat-Bulk, functional PBE.

abc: 3.8494 3.8494 4.1693
angles: 90.00 90.00 90.00
Fractional positions:
W 0.0000 0.0000 0.0000
C 0.5000 0.5000 0.5000
I 0.5000 0.5000 0.0000
N 0.0000 0.5000 0.5000
N 0.5000 0.0000 0.5000

---

Unit: meV per atom. Relative energies: model i 0; model ii 1297.

---

Model i:
An optimized crystal structure of YCI2N. Source: Alexandria via LeMat-Bulk, functional PBE.

abc: 6.1010 6.1010 4.1266
angles: 90.00 90.00 90.00
Fractional positions:
Y 0.0000 0.0000 0.0000
C 0.5000 0.5000 0.5000
I 0.0000 0.5000 0.0000
I 0.5000 0.0000 0.0000
N 0.0000 0.0000 0.5000

---

Model ii:
An optimized crystal structure of YCI2N. Source: Alexandria via LeMat-Bulk, functional PBE.

abc: 5.8033 5.8033 3.2236
angles: 90.00 90.00 90.00
Fractional positions:
Y 0.0000 0.0000 0.0000
C 0.5000 0.5000 0.5000
I 0.0000 0.5000 0.5000
I 0.5000 0.0000 0.5000
N 0.5000 0.5000 0.0000

---

Unit: meV per atom. Relative energies: model i 395; model ii 0.

---

Model i:
An optimized crystal structure of ZnCIN2. Source: Alexandria via LeMat-Bulk, functional PBE.

abc: 3.5230 3.5230 6.6950
angles: 90.00 90.00 90.00
Fractional positions:
Zn 0.0000 0.0000 0.0000
C 0.5000 0.5000 0.5000
I 0.5000 0.5000 0.0000
N 0.0000 0.5000 0.5000
N 0.5000 0.0000 0.5000

---

Model ii:
An optimized crystal structure of ZnCIN2. Source: Alexandria via LeMat-Bulk, functional PBE.

abc: 3.7253 3.7253 8.3471
angles: 90.00 90.00 90.00
Fractional positions:
Zn 0.0000 0.0000 0.0000
C 0.5000 0.5000 0.5000
I 0.0000 0.0000 0.5000
N 0.0000 0.5000 0.0000
N 0.5000 0.0000 0.0000

---

Unit: meV per atom. Relative energies: model i 0; model ii 194.

---

Model i:
An optimized crystal structure of Na2CI. Source: Alexandria via LeMat-Bulk, functional PBE.

abc: 5.2655 5.2655 5.2655
angles: 60.00 60.00 60.00
Fractional positions:
Na 0.2500 0.2500 0.2500
Na 0.7500 0.7500 0.7500
C 0.0000 0.0000 0.0000
I 0.5000 0.5000 0.5000

---

Model ii:
An optimized crystal structure of Na2CI. Source: Alexandria via LeMat-Bulk, functional PBE.

abc: 6.8748 6.8748 6.8748
angles: 114.60 114.60 99.64
Fractional positions:
Na 0.0638 0.6250 0.9388
Na 0.3750 0.3138 0.4388
Na 0.6862 0.1250 0.0612
Na 0.8750 0.9362 0.5612
C 0.0000 0.0000 0.0000
C 0.7500 0.2500 0.5000
I 0.2500 0.7500 0.5000
I 0.5000 0.5000 0.0000

---

Unit: meV per atom. Relative energies: model i 85; model ii 0.

---

Model i:
An optimized crystal structure of NaCI2. Source: Alexandria via LeMat-Bulk, functional PBE.

abc: 5.3927 5.3927 5.3927
angles: 60.00 60.00 60.00
Fractional positions:
Na 0.0000 0.0000 0.0000
C 0.5000 0.5000 0.5000
I 0.2500 0.2500 0.2500
I 0.7500 0.7500 0.7500

---

Model ii:
An optimized crystal structure of NaCI2. Source: Alexandria via LeMat-Bulk, functional PBE.

abc: 8.1117 8.1117 8.1117
angles: 133.39 133.39 68.04
Fractional positions:
Na 0.0000 0.0000 0.0000
Na 0.7500 0.2500 0.5000
C 0.2500 0.7500 0.5000
C 0.5000 0.5000 0.0000
I 0.2327 0.6250 0.1077
I 0.3750 0.4827 0.6077
I 0.5173 0.1250 0.8923
I 0.8750 0.7673 0.3923

---

Unit: meV per atom. Relative energies: model i 465; model ii 0.